No. 1
! NaTiS2Cl, optimized geometry, DFT PBE; values from VASP
&SYSTEM
  ibrav = 0, nat = 5, ntyp = 4
/
ATOMIC_SPECIES
Na 22.99 Na.upf
Ti 47.87 Ti.upf
S 32.06 S.upf
Cl 35.45 Cl.upf
CELL_PARAMETERS angstrom
4.855 0.000 0.000
0.000 4.855 0.000
0.000 0.000 4.685
ATOMIC_POSITIONS angstrom
Na 0.000 0.000 0.000
Ti 2.428 2.428 2.342
S 0.000 2.428 0.000
S 2.428 0.000 0.000
Cl 0.000 0.000 2.342
! Polymorph energy (0 for the lowest one), eV/atom: 1.549
! Space group: No. 123
! Spin magnetization, μB per formula unit: 0.060
! Formation energy (no corrections), eV/atom: 0.39
! Total DFT energy (no corrections), eV/atom: -3.476
! Crystal system: tetragonal
! Calculated volume, A^3/atom: 22.1
! DOS at the Fermi energy, states/eV/cell: 9.7


No. 2
! TlFe2Ru, optimized geometry, DFT PBE; values from VASP
&SYSTEM
  ibrav = 0, nat = 4, ntyp = 3
/
ATOMIC_SPECIES
Fe 55.84 Fe.upf
Ru 101.07 Ru.upf
Tl 204.38 Tl.upf
CELL_PARAMETERS angstrom
3.992 -1.735 -0.685
1.483 -3.218 2.619
0.381 -4.106 -1.553
ATOMIC_POSITIONS angstrom
Fe 4.392 -6.794 0.286
Fe 1.464 -2.265 0.095
Ru 0.000 0.000 0.000
Tl 2.928 -4.529 0.190
! Polymorph energy (0 for the lowest one), eV/atom: 0.146
! Space group: No. 225
! Spin magnetization, μB per formula unit: 6.382
! Total DFT energy (no corrections), eV/atom: -6.609
! Crystal system: cubic
! Calculated volume, A^3/atom: 15.1
! DOS at the Fermi energy, states/eV/cell: 5.3


No. 3
! Ho2Co3B, optimized geometry, DFT PBE; values from VASP
&SYSTEM
  ibrav = 0, nat = 6, ntyp = 3
/
ATOMIC_SPECIES
Co 58.93 Co.upf
Ho 164.93 Ho.upf
B 10.81 B.upf
CELL_PARAMETERS angstrom
-0.663 -0.279 3.057
4.335 -0.859 0.862
-0.711 7.094 -1.120
ATOMIC_POSITIONS angstrom
Co 2.041 0.617 2.112
Ho 0.073 2.204 1.830
B 2.168 -0.429 0.431
Co 0.000 0.000 0.000
Ho 2.889 3.753 0.969
Co 0.921 5.339 0.687
! Space group: No. 71
! Spin magnetization, μB per formula unit: 1.903
! Total DFT energy (no corrections), eV/atom: -6.034
! Crystal system: orthorhombic
! Calculated volume, A^3/atom: 15.7
! DOS at the Fermi energy, states/eV/cell: 5.1